[1]
MnCoSi | meta-GGA SCAN | single point on PBEsol structure

Formation energy (no corrections) = -1.6 eV/f.u.
Polymorph energy (0 for the lowest one) = 0.000 eV/atom
Symmetry = Pnma (62)

Lattice parameters (Å, degrees): 5.602 3.603 6.783 90.00 90.00 90.00
Sites, in units of the cell vectors:
Mn1 0.031 0.250 0.184
Mn2 0.469 0.750 0.684
Mn3 0.531 0.250 0.316
Mn4 0.969 0.750 0.816
Co1 0.157 0.250 0.558
Co2 0.343 0.750 0.058
Co3 0.657 0.250 0.942
Co4 0.843 0.750 0.442
Si1 0.238 0.750 0.375
Si2 0.262 0.250 0.875
Si3 0.738 0.750 0.125
Si4 0.762 0.250 0.625

---

[2]
MnCoSn | meta-GGA SCAN | single point on PBEsol structure

Energy of formation = 0.09 eV per atom
Symmetry = P6_3/mmc (194)

Lattice parameters (Å, degrees): 4.371 4.371 5.244 90.00 90.00 120.00
Sites, in units of the cell vectors:
Mn1 0.333 0.667 0.250
Mn2 0.667 0.333 0.750
Co1 0.000 0.000 0.000
Co2 0.000 0.000 0.500
Sn1 0.333 0.667 0.750
Sn2 0.667 0.333 0.250

---

[3]
Sr2MnCo | meta-GGA SCAN | single point on PBEsol structure

Energy of formation = 0.50 eV per atom
Polymorph energy (0 for the lowest one) = 0.000 eV/atom
Symmetry = P4/mmm (123)

Lattice parameters (Å, degrees): 5.100 5.100 3.825 90.00 90.00 90.00
Sites, in units of the cell vectors:
Sr1 0.000 0.500 0.000
Sr2 0.500 0.000 0.000
Mn1 0.000 0.000 0.500
Co1 0.500 0.500 0.500

---

[4]
Sr2MnCo | meta-GGA SCAN | single point on PBEsol structure

Energy of formation = 0.76 eV per atom
Polymorph energy (0 for the lowest one) = 0.261 eV/atom
Symmetry = R-3m (166)

Lattice parameters (Å, degrees): 9.305 9.305 9.305 23.27 23.27 23.27
Sites, in units of the cell vectors:
Sr1 0.238 0.238 0.238
Sr2 0.762 0.762 0.762
Mn1 0.000 0.000 0.000
Co1 0.500 0.500 0.500

---

[5]
SrMnCo2 | meta-GGA SCAN | single point on PBEsol structure

Energy of formation = 0.50 eV per atom
Symmetry = P4/mmm (123)

Lattice parameters (Å, degrees): 2.966 2.966 6.897 90.00 90.00 90.00
Sites, in units of the cell vectors:
Sr1 0.000 0.000 0.000
Mn1 0.000 0.000 0.500
Co1 0.500 0.500 0.327
Co2 0.500 0.500 0.673

---

[6]
SrMnZn2Co | meta-GGA SCAN | single point on PBEsol structure

Energy of formation = 0.90 eV per atom
Symmetry = P4/mmm (123)

Lattice parameters (Å, degrees): 4.659 4.659 5.294 90.00 90.00 90.00
Sites, in units of the cell vectors:
Sr1 0.000 0.000 0.000
Mn1 0.000 0.000 0.500
Zn1 0.000 0.500 0.500
Zn2 0.500 0.000 0.500
Co1 0.500 0.500 0.000